Record 1
# TbSm3Os, optimized geometry, DFT GGA-PBE
data_TbSm3Os
_chemical_formula_sum 'Tb4 Sm12 Os4'
_cell_length_a 11.9457
_cell_length_b 8.7075
_cell_length_c 8.2641
_cell_angle_alpha 90.00
_cell_angle_beta 133.52
_cell_angle_gamma 90.00
_symmetry_space_group_name_H-M 'C 1 2/m 1'
_symmetry_Int_Tables_number 12
_symmetry_space_group_name_Hall '-C 2y'
loop_
_atom_site_label
_atom_site_type_symbol
_atom_site_fract_x
_atom_site_fract_y
_atom_site_fract_z
_atom_site_occupancy
Tb1 Tb 0.0532 0.0000 0.2518 1
Sm1 Sm 0.0534 0.5000 0.3493 1
Sm2 Sm 0.2482 0.1954 0.7948 1
Os1 Os 0.2489 0.0000 0.1301 1
# DOS(E_F)   4.877 states/eV/f.u.
# Formation energy   -113.5 meV per atom
# E   -0.2248 Ha/atom
# Relative energy among the computed polymorphs   0 meV/atom


Record 2
# TaMnSeN2, optimized geometry, DFT GGA-PBE
data_TaMnSeN2
_chemical_formula_sum 'Ta1 Mn1 Se1 N2'
_cell_length_a 3.7175
_cell_length_b 3.7175
_cell_length_c 4.7974
_cell_angle_alpha 90.00
_cell_angle_beta 90.00
_cell_angle_gamma 90.00
_symmetry_space_group_name_H-M 'P 4/m m m'
_symmetry_Int_Tables_number 123
_symmetry_space_group_name_Hall '-P 4 2'
loop_
_atom_site_label
_atom_site_type_symbol
_atom_site_fract_x
_atom_site_fract_y
_atom_site_fract_z
_atom_site_occupancy
Ta1 Ta 0.0000 0.0000 0.0000 1
Mn1 Mn 0.5000 0.5000 0.5000 1
Se1 Se 0.5000 0.5000 0.0000 1
N1 N 0.0000 0.5000 0.5000 1
# DOS(E_F)   4.933 states/eV/f.u.
# E_form (uncorrected)   0.81 eV per atom
# E   -0.2728 Ha/atom
# Relative energy among the computed polymorphs   666 meV/atom